# NaPuSnF6 GGA-PBE optimized geometry
data_NaPuSnF6
_chemical_formula_sum 'Na2 Pu2 Sn2 F12'
_space_group_name_H-M_alt 'P 1'
_space_group_IT_number 1
_cell_length_a 6.110
_cell_length_b 6.110
_cell_length_c 9.851
_cell_angle_alpha 90.00
_cell_angle_beta 90.00
_cell_angle_gamma 120.00
loop_
_space_group_symop_operation_xyz
'x,y,z'
loop_
_atom_site_label
_atom_site_fract_x
_atom_site_fract_y
_atom_site_fract_z
F1 0.341 0.334 0.367
F2 0.334 0.993 0.633
F3 0.666 0.659 0.133
F4 0.007 0.341 0.633
F5 0.666 0.007 0.367
F6 0.334 0.341 0.867
F7 0.993 0.334 0.133
F8 0.659 0.993 0.867
F9 0.007 0.666 0.867
F10 0.659 0.666 0.633
F11 0.993 0.659 0.367
F12 0.341 0.007 0.133
Pu1 0.333 0.667 0.750
Pu2 0.667 0.333 0.250
Sn1 0.000 0.000 0.500
Sn2 0.000 0.000 0.000
Na1 0.333 0.667 0.250
Na2 0.667 0.333 0.750
# - calculated volume (A^3/atom) = 17.69
# - formation energy without anion corrections (meV per atom) = -2919